1.
! La2Ag2F | the Alexandria database | PBE | optimized geometry; values from VASP
! **N(E_F)**: 5.37 states/eV/f.u.
! **Space-group type**: P4/mbm (127)
! **Uncorrected formation energy**: -1035 meV/atom
! **Total DFT energy (no corrections)**: -4.521 eV/atom
! **Offset from the most stable computed form**: 0.000 eV per formula unit
&SYSTEM
  ibrav = 0, nat = 10, ntyp = 3
/
ATOMIC_SPECIES
La 138.91 La.upf
Ag 107.87 Ag.upf
F 19.00 F.upf
CELL_PARAMETERS angstrom
7.125 0.000 0.000
0.000 7.125 0.000
0.000 0.000 5.063
ATOMIC_POSITIONS angstrom
La 1.208 2.354 0.000
La 2.354 5.916 0.000
La 4.771 1.208 0.000
La 5.916 4.771 0.000
Ag 0.978 4.541 2.531
Ag 2.584 0.978 2.531
Ag 4.541 6.146 2.531
Ag 6.146 2.584 2.531
F 0.000 0.000 0.000
F 3.562 3.562 0.000


2.
! La2AgF2 | the Alexandria database | PBE | optimized geometry; values from VASP
! **N(E_F)**: 2.30 states/eV/f.u.
! **Space-group type**: I4/mmm (139)
! **Uncorrected formation energy**: -2221 meV/atom
! **Total DFT energy (no corrections)**: -5.511 eV/atom
&SYSTEM
  ibrav = 0, nat = 5, ntyp = 3
/
ATOMIC_SPECIES
La 138.91 La.upf
Ag 107.87 Ag.upf
F 19.00 F.upf
CELL_PARAMETERS angstrom
-1.963 1.963 7.061
1.963 -1.963 7.061
1.963 1.963 -7.061
ATOMIC_POSITIONS angstrom
La 0.000 0.000 1.886
La 0.000 0.000 12.236
Ag 0.000 0.000 7.061
F 1.963 0.000 3.530
F 0.000 1.963 3.530


3.
! La2AgF | the Alexandria database | PBE | optimized geometry; values from VASP
! **N(E_F)**: 6.24 states/eV/f.u.
! **Space-group type**: Fm-3m (225)
! **Uncorrected formation energy**: -931 meV/atom
! **Total DFT energy (no corrections)**: -4.576 eV/atom
! **Offset from the most stable computed form**: 1.329 eV per formula unit
&SYSTEM
  ibrav = 0, nat = 4, ntyp = 3
/
ATOMIC_SPECIES
La 138.91 La.upf
Ag 107.87 Ag.upf
F 19.00 F.upf
CELL_PARAMETERS angstrom
0.000 3.690 3.690
3.690 0.000 3.690
3.690 3.690 0.000
ATOMIC_POSITIONS angstrom
La 1.845 1.845 1.845
La 5.535 5.535 5.535
Ag 0.000 0.000 0.000
F 3.690 3.690 3.690


4.
! LaAg3F | the Alexandria database | PBE | optimized geometry; values from VASP
! **N(E_F)**: 5.29 states/eV/f.u.
! **Space-group type**: Pm-3m (221)
! **Uncorrected formation energy**: -139 meV/atom
! **Total DFT energy (no corrections)**: -3.209 eV/atom
! **Offset from the most stable computed form**: 0.000 eV per formula unit
&SYSTEM
  ibrav = 0, nat = 5, ntyp = 3
/
ATOMIC_SPECIES
La 138.91 La.upf
Ag 107.87 Ag.upf
F 19.00 F.upf
CELL_PARAMETERS angstrom
4.840 0.000 0.000
0.000 4.840 0.000
0.000 0.000 4.840
ATOMIC_POSITIONS angstrom
La 0.000 0.000 0.000
Ag 0.000 2.420 2.420
Ag 2.420 0.000 2.420
Ag 2.420 2.420 0.000
F 2.420 2.420 2.420


5.
! LaAgF4 | the Alexandria database | PBE | optimized geometry; values from VASP
! **N(E_F)**: 0.00 states/eV/f.u.
! **Space-group type**: P4/mmm (123)
! **Uncorrected formation energy**: -3091 meV/atom
! **Total DFT energy (no corrections)**: -5.635 eV/atom
&SYSTEM
  ibrav = 0, nat = 6, ntyp = 3
/
ATOMIC_SPECIES
La 138.91 La.upf
Ag 107.87 Ag.upf
F 19.00 F.upf
CELL_PARAMETERS angstrom
4.096 0.000 0.000
0.000 4.096 0.000
0.000 0.000 5.908
ATOMIC_POSITIONS angstrom
La 0.000 0.000 0.000
Ag 2.048 2.048 2.954
F 0.000 2.048 1.335
F 0.000 2.048 4.573
F 2.048 0.000 1.335
F 2.048 0.000 4.573


6.
! LaAg6F12 | the Alexandria database | PBE | optimized geometry; values from VASP
! **N(E_F)**: 13.02 states/eV/f.u.
! **Space-group type**: R-3 (148)
! **Uncorrected formation energy**: -1698 meV/atom
! **Total DFT energy (no corrections)**: -4.039 eV/atom
&SYSTEM
  ibrav = 0, nat = 19, ntyp = 3
/
ATOMIC_SPECIES
La 138.91 La.upf
Ag 107.87 Ag.upf
F 19.00 F.upf
CELL_PARAMETERS angstrom
5.200 3.002 3.412
-5.200 3.002 3.412
0.000 -6.004 3.412
ATOMIC_POSITIONS angstrom
La 0.000 0.000 0.000
Ag -2.481 0.071 3.674
Ag 1.179 -2.184 3.674
Ag -1.302 -2.113 6.563
Ag 1.302 2.113 3.674
Ag -1.179 2.184 6.563
Ag 2.481 -0.071 6.563
F -3.221 -2.789 5.600
F -4.026 1.395 4.637
F -0.992 -1.674 3.729
F 0.805 -4.184 4.637
F -0.954 1.697 3.729
F -1.946 0.022 6.508
F 1.946 -0.022 3.729
F 0.954 -1.697 6.508
F -0.805 4.184 5.600
F 0.992 1.674 6.508
F 4.026 -1.395 5.600
F 3.221 2.789 4.637


7.
! LaAgF | the Alexandria database | PBE | optimized geometry; values from VASP
! **N(E_F)**: 2.00 states/eV/f.u.
! **Space-group type**: P4/nmm (129)
! **Uncorrected formation energy**: -1905 meV/atom
! **Total DFT energy (no corrections)**: -5.122 eV/atom
&SYSTEM
  ibrav = 0, nat = 6, ntyp = 3
/
ATOMIC_SPECIES
La 138.91 La.upf
Ag 107.87 Ag.upf
F 19.00 F.upf
CELL_PARAMETERS angstrom
3.904 0.000 0.000
0.000 3.904 0.000
0.000 0.000 8.227
ATOMIC_POSITIONS angstrom
La 0.976 0.976 1.652
La 2.928 2.928 6.575
Ag 0.976 0.976 4.848
Ag 2.928 2.928 3.379
F 0.976 2.928 0.000
F 2.928 0.976 0.000


8.
! LaAgF | the Alexandria database | PBE | optimized geometry; values from VASP
! **N(E_F)**: 1.68 states/eV/f.u.
! **Space-group type**: Imm2 (44)
! **Uncorrected formation energy**: -1739 meV/atom
! **Total DFT energy (no corrections)**: -4.956 eV/atom
&SYSTEM
  ibrav = 0, nat = 6, ntyp = 3
/
ATOMIC_SPECIES
La 138.91 La.upf
Ag 107.87 Ag.upf
F 19.00 F.upf
CELL_PARAMETERS angstrom
-2.083 4.786 3.504
2.083 -4.786 3.504
2.083 4.786 -3.504
ATOMIC_POSITIONS angstrom
La 0.000 2.057 0.000
La 0.000 7.515 0.000
Ag 0.000 0.000 3.333
Ag 0.000 4.786 1.852
F 2.083 1.868 1.264
F 0.000 2.918 4.768


9.
! LaAg3F12 | the Alexandria database | PBE | optimized geometry; values from VASP
! **Space-group type**: R3c (161)
! **Uncorrected formation energy**: -1749 meV/atom
! **Total DFT energy (no corrections)**: -3.995 eV/atom
&SYSTEM
  ibrav = 0, nat = 32, ntyp = 3
/
ATOMIC_SPECIES
La 138.91 La.upf
Ag 107.87 Ag.upf
F 19.00 F.upf
CELL_PARAMETERS angstrom
5.237 3.024 5.396
-5.237 3.024 5.396
0.000 -6.048 5.396
ATOMIC_POSITIONS angstrom
La 0.000 0.000 0.000
La 0.000 0.000 8.094
Ag -1.783 -2.870 5.968
Ag -3.643 -0.045 8.666
Ag -1.594 2.979 5.968
Ag 1.860 -3.132 8.666
Ag 3.377 -0.109 5.968
Ag 1.783 3.177 8.666
F -1.619 0.741 3.160
F 0.168 -1.773 3.160
F -3.142 1.747 6.025
F 0.058 -3.595 6.025
F -1.215 -0.987 6.195
F -2.095 -1.276 8.723
F -3.044 -1.748 11.168
F -0.008 -2.538 8.470
F -2.193 1.276 8.470
F 1.451 1.032 3.160
F -0.247 1.545 6.195
F 1.462 -0.559 6.195
F -0.168 -1.773 11.253
F -1.451 1.032 11.253
F -0.058 2.452 8.723
F 2.153 -1.176 8.723
F -1.462 -0.559 14.288
F 3.084 1.848 6.025
F 2.202 1.262 8.470
F 3.035 -1.762 11.168
F 0.008 3.510 11.168
F 1.619 0.741 11.253
F 1.215 -0.987 14.288
F 0.247 1.545 14.288


10.
! La4Ag2F | the Alexandria database | PBE | optimized geometry; values from VASP
! **N(E_F)**: 6.01 states/eV/f.u.
! **Space-group type**: I4/mmm (139)
! **Uncorrected formation energy**: -780 meV/atom
! **Total DFT energy (no corrections)**: -4.678 eV/atom
&SYSTEM
  ibrav = 0, nat = 7, ntyp = 3
/
ATOMIC_SPECIES
La 138.91 La.upf
Ag 107.87 Ag.upf
F 19.00 F.upf
CELL_PARAMETERS angstrom
-2.538 2.538 7.838
2.538 -2.538 7.838
2.538 2.538 -7.838
ATOMIC_POSITIONS angstrom
La 2.538 0.000 0.000
La 0.000 0.000 2.975
La 0.000 2.538 0.000
La 0.000 0.000 12.701
Ag 0.000 0.000 5.889
Ag 0.000 0.000 9.787
F 0.000 0.000 0.000


11.
! LiLaAg2F | the Alexandria database | PBE | optimized geometry; values from VASP
! **N(E_F)**: 2.60 states/eV/f.u.
! **Space-group type**: P4/mmm (123)
! **Uncorrected formation energy**: -704 meV/atom
! **Total DFT energy (no corrections)**: -3.587 eV/atom
&SYSTEM
  ibrav = 0, nat = 5, ntyp = 4
/
ATOMIC_SPECIES
Li 6.94 Li.upf
La 138.91 La.upf
Ag 107.87 Ag.upf
F 19.00 F.upf
CELL_PARAMETERS angstrom
5.426 0.000 0.000
0.000 5.426 0.000
0.000 0.000 4.428
ATOMIC_POSITIONS angstrom
Li 0.000 0.000 0.000
La 2.713 2.713 0.000
Ag 0.000 2.713 2.214
Ag 2.713 0.000 2.214
F 2.713 2.713 2.214


12.
! LaAgNF2 | the Alexandria database | PBE | optimized geometry; values from VASP
! **N(E_F)**: 0.15 states/eV/f.u.
! **Space-group type**: P4/mmm (123)
! **Uncorrected formation energy**: -1461 meV/atom
! **Total DFT energy (no corrections)**: -5.431 eV/atom
! **Offset from the most stable computed form**: 0.000 eV per formula unit
&SYSTEM
  ibrav = 0, nat = 5, ntyp = 4
/
ATOMIC_SPECIES
La 138.91 La.upf
Ag 107.87 Ag.upf
N 14.01 N.upf
F 19.00 F.upf
CELL_PARAMETERS angstrom
4.685 0.000 0.000
0.000 4.685 0.000
0.000 0.000 4.436
ATOMIC_POSITIONS angstrom
La 0.000 0.000 0.000
Ag 2.342 2.342 2.218
N 0.000 0.000 2.218
F 0.000 2.342 0.000
F 2.342 0.000 0.000


13.
! LaAgNF2 | the Alexandria database | PBE | optimized geometry; values from VASP
! **N(E_F)**: 2.45 states/eV/f.u.
! **Space-group type**: P4/mmm (123)
! **Uncorrected formation energy**: -1131 meV/atom
! **Total DFT energy (no corrections)**: -5.100 eV/atom
! **Offset from the most stable computed form**: 1.654 eV per formula unit
&SYSTEM
  ibrav = 0, nat = 5, ntyp = 4
/
ATOMIC_SPECIES
La 138.91 La.upf
Ag 107.87 Ag.upf
N 14.01 N.upf
F 19.00 F.upf
CELL_PARAMETERS angstrom
4.265 0.000 0.000
0.000 4.265 0.000
0.000 0.000 4.341
ATOMIC_POSITIONS angstrom
La 0.000 0.000 0.000
Ag 2.132 2.132 2.170
N 2.132 2.132 0.000
F 0.000 2.132 2.170
F 2.132 0.000 2.170


14.
! NaLaAg2F6 | the Alexandria database | PBE | optimized geometry; values from VASP
! **N(E_F)**: 0.00 states/eV/f.u.
! **Space-group type**: P1 (1)
! **Uncorrected formation energy**: -2554 meV/atom
! **Total DFT energy (no corrections)**: -4.872 eV/atom
&SYSTEM
  ibrav = 0, nat = 10, ntyp = 4
/
ATOMIC_SPECIES
Na 22.99 Na.upf
La 138.91 La.upf
Ag 107.87 Ag.upf
F 19.00 F.upf
CELL_PARAMETERS angstrom
6.145 0.000 0.000
3.062 5.338 0.000
3.060 1.764 5.248
ATOMIC_POSITIONS angstrom
Na 0.000 0.000 0.000
La 6.134 3.550 2.643
Ag 3.068 1.767 1.749
Ag 9.197 5.329 4.423
F 5.326 5.457 3.718
F 4.335 3.695 1.110
F 4.891 1.920 3.748
F 7.180 5.038 1.137
F 8.163 3.283 3.749
F 6.908 1.914 1.127